A relaxed CdCoGeTe3 crystal. Source: the Open Quantum Materials Database, functional PBE.

## Properties
Its volume is 25.99 Å³ per atom. The total energy is -3.668 eV/atom. As for the offset from the most stable computed form: 71 meV per atom.

Unit cell a=6.866 b=6.866 c=11.913 alpha=90.00 beta=90.00 gamma=146.26
Atoms (fractional coordinates):
Cd1 0.000 0.000 0.000
Cd2 0.000 0.000 0.500
Co1 0.443 0.557 0.750
Co2 0.557 0.443 0.250
Ge1 0.188 0.812 0.250
Ge2 0.812 0.188 0.750
Te1 0.061 0.939 0.750
Te2 0.344 0.656 0.567
Te3 0.344 0.656 0.933
Te4 0.656 0.344 0.067
Te5 0.656 0.344 0.433
Te6 0.939 0.061 0.250